# Nd2SiS5

An optimized crystal structure of Nd2SiS5 (PBE, the Alexandria database).

Summary:
As for the polymorph energy (0 for the lowest one): 294 meV per atom. The calculation puts the formation energy from raw total energies at -1.26 eV per atom. For the volume, the calculation gives 186.4 Å³ per cell. As for the energy: -45.69 eV/cell.

a = 6.2925 Å, b = 6.2925 Å, c = 6.2925 Å
α = 115.40°, β = 115.40°, γ = 98.17°
Sites, in units of the cell vectors:
Nd  0.0000  0.5000  0.5000
Nd  0.5000  0.0000  0.5000
Si  0.2398  0.2398  0.0000
S  0.0712  0.0712  0.5424
S  0.0712  0.5288  0.0000
S  0.5288  0.0712  0.0000
S  0.5288  0.5288  0.4576
S  0.9876  0.9876  0.0000